(1)
The following is a PBE calculation of a relaxed structure of EuErHgPb, from Alexandria via LeMat-Bulk.

Lattice parameters (Å, degrees): 7.690 7.690 7.690 90.00 90.00 90.00
Space group F-43m (No. 216)
One atom of each set of equivalent atoms:
Eu: 0.000 0.000 0.000 x4
Er: 0.000 0.000 0.500 x4
Hg: 0.250 0.250 0.250 x4
Pb: 0.250 0.250 0.750 x4

Summary:
E_form = -0.475 eV per atom
Magnetic moment = 1.898 μB/atom


(2)
The following is a PBE calculation of a relaxed structure of EuErHgPd, from Alexandria via LeMat-Bulk.

Lattice parameters (Å, degrees): 7.324 7.324 7.324 90.00 90.00 90.00
Space group F-43m (No. 216)
One atom of each set of equivalent atoms:
Eu: 0.000 0.000 0.000 x4
Er: 0.000 0.000 0.500 x4
Hg: 0.250 0.250 0.250 x4
Pd: 0.250 0.250 0.750 x4

Summary:
E_form = -0.569 eV per atom
Magnetic moment = 1.752 μB/atom


(3)
The following is a PBE calculation of a relaxed structure of PmEuErHg, from Alexandria via LeMat-Bulk.

Lattice parameters (Å, degrees): 7.775 7.775 7.775 90.00 90.00 90.00
Space group F-43m (No. 216)
One atom of each set of equivalent atoms:
Pm: 0.000 0.000 0.000 x4
Eu: 0.250 0.250 0.750 x4
Er: 0.250 0.250 0.250 x4
Hg: 0.000 0.000 0.500 x4

Summary:
E_form = 0.001 eV per atom
Magnetic moment = 2.266 μB/atom


(4)
The following is a PBE calculation of a relaxed structure of PrEuErHg, from Alexandria via LeMat-Bulk.

Lattice parameters (Å, degrees): 7.817 7.817 7.817 90.00 90.00 90.00
Space group F-43m (No. 216)
One atom of each set of equivalent atoms:
Pr: 0.000 0.000 0.000 x4
Eu: 0.250 0.250 0.750 x4
Er: 0.000 0.000 0.500 x4
Hg: 0.250 0.250 0.250 x4

Summary:
E_form = -0.048 eV per atom
Magnetic moment = 1.856 μB/atom


(5)
The following is a PBE calculation of a relaxed structure of EuErHgPt, from Alexandria via LeMat-Bulk.

Lattice parameters (Å, degrees): 7.273 7.273 7.273 90.00 90.00 90.00
Space group F-43m (No. 216)
One atom of each set of equivalent atoms:
Eu: 0.000 0.000 0.000 x4
Er: 0.000 0.000 0.500 x4
Hg: 0.250 0.250 0.250 x4
Pt: 0.250 0.250 0.750 x4

Summary:
E_form = -0.724 eV per atom
Magnetic moment = 1.745 μB/atom


(6)
The following is a PBE calculation of a relaxed structure of EuErSiHg, from Alexandria via LeMat-Bulk.

Lattice parameters (Å, degrees): 7.345 7.345 7.345 90.00 90.00 90.00
Space group F-43m (No. 216)
One atom of each set of equivalent atoms:
Eu: 0.000 0.000 0.000 x4
Er: 0.000 0.000 0.500 x4
Si: 0.250 0.250 0.250 x4
Hg: 0.250 0.250 0.750 x4

Summary:
ΔE_f (raw) = -0.4273 eV/atom
Magnetic moment = 1.857 μB/atom


Q: Among the records above, which one has the highest magnetic moment?
A: PmEuErHg


Copy entry 4 word for word.
The following is a PBE calculation of a relaxed structure of PrEuErHg, from Alexandria via LeMat-Bulk.

Lattice parameters (Å, degrees): 7.817 7.817 7.817 90.00 90.00 90.00
Space group F-43m (No. 216)
One atom of each set of equivalent atoms:
Pr: 0.000 0.000 0.000 x4
Eu: 0.250 0.250 0.750 x4
Er: 0.000 0.000 0.500 x4
Hg: 0.250 0.250 0.250 x4

Summary:
E_form = -0.048 eV per atom
Magnetic moment = 1.856 μB/atom